First-principles (GGA+U) data for K2NiPdO after structural relaxation, as listed in Alexandria.

Raw total energy, eV/atom: -3.079
Space group: No. 123
Crystal system: tetragonal

Unit cell a=5.625 b=5.625 c=3.928 alpha=90.00 beta=90.00 gamma=90.00
Fractional positions:
K (0.000, 0.500, 0.000)
K (0.500, 0.000, 0.000)
Ni (0.000, 0.000, 0.500)
Pd (0.500, 0.500, 0.500)
O (0.500, 0.500, 0.000)